LiNd2Cd6 | PBE | relaxed

Its formation energy is -2.33 eV per formula unit. For the raw total energy, the calculation gives -2.14 eV/atom. Its energy above the lowest structure with this stoichiometry is 7 meV per atom.

The structure belongs to space group C2/m (No. 12); the cell edges are 12.1253, 6.6718 and 5.4074 Å and the angles 90.00°, 96.46° and 90.00°. The asymmetric unit holds Li at (0.0000, 0.0000, 0.0000), Nd at (0.1483, 0.5000, 0.2036), Cd at (0.0992, 0.2362, 0.6928) and Cd at (0.1941, 0.0000, 0.2604).